Density functional theory data (GGA-PBE) for a relaxed structure of YAl2Ir.

E_form = -2.38 eV/f.u.
uncorrected energy = -25.19 eV for the cell shown
M_tot = 0.0578 μB/atom
Fermi-level density of states = 2.2 states/eV per cell
symmetry = Pmmm, No. 47

a b c (Å): 3.024 3.262 7.331
angles (deg): 90.00 90.00 90.00
Each line ends with the local moment (μB).
Positions (direct):
Al (0.000, 0.000, 0.058)  0.00
Al (0.000, 0.000, 0.442)  0.00
Y (0.500, 0.500, 0.750)  0.16
Ir (0.500, 0.500, 0.250)  0.00